1.
{"formula": "SrLiRu2", "functional": "SCAN", "state": "PBEsol geometry", "ef_ev_per_atom": 0.646, "relative_energy_ev_per_fu": 0.16, "dos_at_fermi_per_ev_cell": 3.6, "cell": [[3.770, 0.000, 0.000], [0.000, 3.770, 0.000], [0.000, 0.000, 4.786]], "species": ["Sr", "Li", "Ru", "Ru"], "frac_coords": [[0.000, 0.000, 0.000], [0.500, 0.500, 0.000], [0.000, 0.500, 0.500], [0.500, 0.000, 0.500]]}

2.
{"formula": "SrLiRu2", "functional": "SCAN", "state": "PBEsol geometry", "ef_ev_per_atom": 0.607, "relative_energy_ev_per_fu": 0.00, "dos_at_fermi_per_ev_cell": 2.9, "cell": [[-1.458, 2.303, 4.871], [1.458, -2.303, 4.871], [1.458, 2.303, -4.871]], "species": ["Sr", "Li", "Ru", "Ru"], "frac_coords": [[0.000, 0.000, 0.000], [0.500, 0.500, 0.000], [0.270, 0.770, 0.500], [0.730, 0.230, 0.500]]}

3.
{"formula": "SrLiRu2", "functional": "SCAN", "state": "PBEsol geometry", "ef_ev_per_atom": 0.671, "relative_energy_ev_per_fu": 0.26, "dos_at_fermi_per_ev_cell": 3.3, "cell": [[-1.897, 1.897, 4.747], [1.897, -1.897, 4.747], [1.897, 1.897, -4.747]], "species": ["Sr", "Li", "Ru", "Ru"], "frac_coords": [[0.000, 0.000, 0.000], [0.500, 0.500, 0.000], [0.250, 0.750, 0.500], [0.750, 0.250, 0.500]]}

4.
{"formula": "LiTaRu4", "functional": "SCAN", "state": "PBEsol geometry", "ef_ev_per_atom": 0.112, "dos_at_fermi_per_ev_cell": 5.9, "cell": [[0.000, 3.543, 3.543], [3.543, 0.000, 3.543], [3.543, 3.543, 0.000]], "species": ["Li", "Ta", "Ru", "Ru", "Ru", "Ru"], "frac_coords": [[0.000, 0.000, 0.000], [0.250, 0.250, 0.250], [0.124, 0.625, 0.625], [0.625, 0.124, 0.625], [0.625, 0.625, 0.124], [0.625, 0.625, 0.625]]}

5.
{"formula": "LiTa3Ru", "functional": "SCAN", "state": "PBEsol geometry", "ef_ev_per_atom": 1.200, "dos_at_fermi_per_ev_cell": 5.0, "cell": [[4.289, 0.000, 0.000], [0.000, 4.289, 0.000], [0.000, 0.000, 4.289]], "species": ["Li", "Ta", "Ta", "Ta", "Ru"], "frac_coords": [[0.000, 0.000, 0.000], [0.000, 0.000, 0.500], [0.000, 0.500, 0.000], [0.500, 0.000, 0.000], [0.500, 0.500, 0.500]]}

6.
{"formula": "Li2TcRu", "functional": "SCAN", "state": "PBEsol geometry", "ef_ev_per_atom": 0.520, "dos_at_fermi_per_ev_cell": 2.6, "cell": [[4.526, 0.000, 0.000], [0.000, 4.526, 0.000], [0.000, 0.000, 2.401]], "species": ["Li", "Li", "Tc", "Ru"], "frac_coords": [[0.000, 0.500, 0.000], [0.500, 0.000, 0.000], [0.000, 0.000, 0.500], [0.500, 0.500, 0.500]]}

7.
{"formula": "LiZn2TcRu", "functional": "SCAN", "state": "PBEsol geometry", "ef_ev_per_atom": 0.840, "dos_at_fermi_per_ev_cell": 4.1, "cell": [[4.836, 0.000, 0.000], [0.000, 4.836, 0.000], [0.000, 0.000, 4.461]], "species": ["Li", "Zn", "Zn", "Tc", "Ru"], "frac_coords": [[0.000, 0.000, 0.000], [0.000, 0.500, 0.500], [0.500, 0.000, 0.500], [0.500, 0.500, 0.500], [0.500, 0.500, 0.000]]}

8.
{"formula": "Li2TeRu", "functional": "SCAN", "state": "PBEsol geometry", "energy_ev_per_atom": -19.399, "dos_at_fermi_per_ev_cell": 1.9, "cell": [[-1.892, 1.892, 4.286], [1.892, -1.892, 4.286], [1.892, 1.892, -4.286]], "species": ["Li", "Li", "Te", "Ru"], "frac_coords": [[0.250, 0.750, 0.500], [0.750, 0.250, 0.500], [0.000, 0.000, 0.000], [0.500, 0.500, 0.000]]}

9.
{"formula": "Li2TeRu", "functional": "SCAN", "state": "PBEsol geometry", "energy_ev_per_atom": -19.249, "dos_at_fermi_per_ev_cell": 2.4, "cell": [[3.161, 0.000, 0.000], [0.000, 4.587, 0.000], [-0.225, 0.000, 4.458]], "species": ["Li", "Li", "Te", "Ru"], "frac_coords": [[0.234, 0.000, 0.229], [0.766, 0.000, 0.771], [0.000, 0.500, 0.500], [0.500, 0.500, 0.000]]}

10.
{"formula": "Li2TeRu", "functional": "SCAN", "state": "PBEsol geometry", "energy_ev_per_atom": -19.496, "dos_at_fermi_per_ev_cell": 2.4, "cell": [[-2.007, 2.007, 3.633], [2.007, -2.007, 3.633], [2.007, 2.007, -3.633]], "species": ["Li", "Li", "Te", "Ru"], "frac_coords": [[0.000, 0.000, 0.000], [0.750, 0.250, 0.500], [0.500, 0.500, 0.000], [0.250, 0.750, 0.500]]}

11.
{"formula": "LiTe2Ru", "functional": "SCAN", "state": "PBEsol geometry", "energy_ev_per_atom": -27.854, "dos_at_fermi_per_ev_cell": 1.9, "cell": [[1.609, 0.929, 9.801], [-1.609, 0.929, 9.801], [0.000, -1.858, 9.801]], "species": ["Li", "Te", "Te", "Ru"], "frac_coords": [[0.000, 0.000, 0.000], [0.533, 0.533, 0.533], [0.745, 0.745, 0.745], [0.259, 0.259, 0.259]]}

12.
{"formula": "LiTe2Ru", "functional": "SCAN", "state": "PBEsol geometry", "energy_ev_per_atom": -27.933, "dos_at_fermi_per_ev_cell": 3.5, "cell": [[4.764, 0.000, 0.000], [0.000, 4.764, 0.000], [0.000, 0.000, 3.278]], "species": ["Li", "Te", "Te", "Ru"], "frac_coords": [[0.000, 0.000, 0.000], [0.000, 0.500, 0.500], [0.500, 0.000, 0.500], [0.500, 0.500, 0.000]]}

13.
{"formula": "LiTeRu", "functional": "SCAN", "state": "PBEsol geometry", "energy_ev_per_atom": -25.028, "dos_at_fermi_per_ev_cell": 1.1, "cell": [[-1.687, 1.687, 4.070], [1.687, -1.687, 4.070], [1.687, 1.687, -4.070]], "species": ["Li", "Te", "Ru"], "frac_coords": [[0.000, 0.000, 0.000], [0.326, 0.326, 0.000], [0.670, 0.670, 0.000]]}

14.
{"formula": "Li2TiRu", "functional": "SCAN", "state": "PBEsol geometry", "ef_ev_per_atom": 0.076, "dos_at_fermi_per_ev_cell": 4.1, "cell": [[-1.726, 1.726, 10.007], [1.726, -1.726, 10.007], [1.726, 1.726, -10.007]], "species": ["Li", "Li", "Li", "Li", "Ti", "Ti", "Ru", "Ru"], "frac_coords": [[0.107, 0.625, 0.982], [0.375, 0.357, 0.482], [0.643, 0.125, 0.018], [0.875, 0.893, 0.518], [0.250, 0.750, 0.500], [0.500, 0.500, 0.000], [0.000, 0.000, 0.000], [0.750, 0.250, 0.500]]}

15.
{"formula": "LiTiRu3", "functional": "SCAN", "state": "PBEsol geometry", "ef_ev_per_atom": 1.112, "dos_at_fermi_per_ev_cell": 4.4, "cell": [[4.472, 0.000, 0.000], [0.000, 4.472, 0.000], [0.000, 0.000, 4.472]], "species": ["Li", "Ti", "Ru", "Ru", "Ru"], "frac_coords": [[0.000, 0.000, 0.000], [0.500, 0.500, 0.500], [0.000, 0.500, 0.500], [0.500, 0.000, 0.500], [0.500, 0.500, 0.000]]}

16.
{"formula": "LiTl3Ru", "functional": "SCAN", "state": "PBEsol geometry", "ef_ev_per_atom": 0.858, "dos_at_fermi_per_ev_cell": 3.0, "cell": [[4.831, 0.000, 0.000], [0.000, 4.831, 0.000], [0.000, 0.000, 4.831]], "species": ["Li", "Tl", "Tl", "Tl", "Ru"], "frac_coords": [[0.000, 0.000, 0.000], [0.000, 0.000, 0.500], [0.000, 0.500, 0.000], [0.500, 0.000, 0.000], [0.500, 0.500, 0.500]]}

17.
{"formula": "LiTl2Ru", "functional": "SCAN", "state": "PBEsol geometry", "ef_ev_per_atom": 0.224, "relative_energy_ev_per_fu": 0.00, "dos_at_fermi_per_ev_cell": 1.9, "cell": [[-1.958, 1.958, 4.673], [1.958, -1.958, 4.673], [1.958, 1.958, -4.673]], "species": ["Li", "Tl", "Tl", "Ru"], "frac_coords": [[0.000, 0.000, 0.000], [0.250, 0.750, 0.500], [0.500, 0.500, 0.000], [0.750, 0.250, 0.500]]}

18.
{"formula": "LiTlRu", "functional": "SCAN", "state": "PBEsol geometry", "ef_ev_per_atom": 0.427, "dos_at_fermi_per_ev_cell": 1.6, "cell": [[2.952, 0.000, 0.000], [-1.476, 2.556, 0.000], [0.000, 0.000, 6.817]], "species": ["Li", "Tl", "Ru"], "frac_coords": [[0.000, 0.000, 0.000], [0.333, 0.667, 0.361], [0.667, 0.333, 0.695]]}

19.
{"formula": "LiTl2Ru", "functional": "SCAN", "state": "PBEsol geometry", "ef_ev_per_atom": 0.273, "relative_energy_ev_per_fu": 0.19, "dos_at_fermi_per_ev_cell": 2.2, "cell": [[3.586, 0.000, 0.000], [0.000, 3.586, 0.000], [0.000, 0.000, 5.781]], "species": ["Li", "Tl", "Tl", "Ru"], "frac_coords": [[0.000, 0.000, 0.000], [0.000, 0.000, 0.442], [0.500, 0.500, 0.772], [0.500, 0.500, 0.244]]}

20.
{"formula": "LiTl2Ru", "functional": "SCAN", "state": "PBEsol geometry", "ef_ev_per_atom": 0.498, "relative_energy_ev_per_fu": 1.10, "dos_at_fermi_per_ev_cell": 1.4, "cell": [[0.000, 3.337, 3.337], [3.337, 0.000, 3.337], [3.337, 3.337, 0.000]], "species": ["Li", "Tl", "Tl", "Ru"], "frac_coords": [[0.000, 0.000, 0.000], [0.250, 0.250, 0.250], [0.500, 0.500, 0.500], [0.750, 0.750, 0.750]]}